# 1
YCoBi3 | Alexandria | PBE | optimized geometry; crystal system = cubic; E_form = 1.01 eV per atom
1.0
5.839 0.000 0.000
0.000 5.839 0.000
0.000 0.000 5.839
Y Bi Co
1 3 1
direct
0.000 0.000 0.000
0.000 0.000 0.500
0.500 0.000 0.000
0.000 0.500 0.000
0.500 0.500 0.500

# 2
Er4Tm9Cd11 | Alexandria | PBE | optimized geometry; crystal system = orthorhombic; E_form = -0.22 eV per atom
1.0
3.457 0.000 0.000
0.000 12.845 -4.883
0.000 0.558 13.731
Cd Tm Er
11 9 4
direct
0.000 0.000 0.000
0.000 0.951 0.589
0.000 0.372 0.628
0.000 0.818 0.182
0.000 0.628 0.372
0.000 0.210 0.210
0.000 0.589 0.951
0.000 0.049 0.411
0.000 0.182 0.818
0.000 0.790 0.790
0.000 0.411 0.049
0.500 0.843 0.383
0.500 0.016 0.205
0.500 0.383 0.843
0.500 0.617 0.157
0.500 0.157 0.617
0.500 0.984 0.795
0.500 0.205 0.016
0.500 0.795 0.984
0.500 0.500 0.500
0.500 0.585 0.750
0.500 0.250 0.415
0.500 0.750 0.585
0.500 0.415 0.250

no.,raw total energy (eV/cell)
1,-20.17
2,-73.84